VASP calculation (GGA-PBE) on a relaxed Li2AgBiO4 crystal.

The structure in POSCAR format:
```
Li2AgBiO4
1.0
-2.609 2.609 4.115
2.609 -2.609 4.115
2.609 2.609 -4.115
Li Ag Bi O
2 1 1 4
Cartesian
2.609 0.000 2.058
0.000 2.609 2.058
0.000 0.000 0.000
0.000 0.000 4.115
1.420 1.420 -1.193
1.189 -1.189 5.308
1.189 1.189 2.922
-1.189 1.189 5.308
```

Output
SG ... I-42m, No. 121
Fermi-level density of states ... 2.24 states/eV per cell
V ... 14.00 Å³/atom
ΔE_f (raw) ... -1.083 eV per atom

---

VASP calculation (GGA-PBE) on a relaxed LiAg2BiO4 crystal.

The structure in POSCAR format:
```
LiAg2BiO4
1.0
-2.645 2.645 4.528
2.645 -2.645 4.528
2.645 2.645 -4.528
Li Ag Bi O
1 2 1 4
Cartesian
0.000 0.000 0.000
0.000 0.000 4.528
0.000 2.645 2.264
2.645 0.000 2.264
1.066 1.293 -1.099
3.997 1.066 1.099
1.579 1.352 3.428
-1.352 1.579 5.627
```

Output
SG ... I-4, No. 82
Fermi-level density of states ... 4.17 states/eV per cell
V ... 15.83 Å³/atom
ΔE_f (raw) ... -0.684 eV per atom

---

VASP calculation (GGA-PBE) on a relaxed Li3AgBi4Pb2 crystal.

The structure in POSCAR format:
```
Li3AgBi4Pb2
1.0
4.608 0.000 0.000
0.000 4.608 0.000
0.000 0.000 12.774
Li Ag Bi Pb
3 1 4 2
Cartesian
0.000 0.000 0.000
0.000 2.304 8.204
2.304 0.000 4.570
2.304 2.304 0.000
0.000 0.000 6.387
0.000 2.304 10.919
2.304 0.000 1.855
2.304 2.304 6.387
0.000 2.304 2.951
2.304 0.000 9.823
```

Output
SG ... P-4m2, No. 115
Fermi-level density of states ... 3.44 states/eV per cell
V ... 27.13 Å³/atom
Calculated formation energy ... -0.1367 eV/atom

---

VASP calculation (GGA-PBE) on a relaxed LiAgBiPb crystal.

The structure in POSCAR format:
```
LiAgBiPb
1.0
0.000 3.643 3.643
3.643 0.000 3.643
3.643 3.643 0.000
Li Ag Bi Pb
1 1 1 1
Cartesian
0.000 0.000 0.000
3.643 3.643 3.643
1.821 1.821 1.821
5.464 5.464 5.464
```

Output
SG ... F-43m, No. 216
Fermi-level density of states ... 1.77 states/eV per cell
V ... 24.17 Å³/atom
Calculated formation energy ... -0.1325 eV/atom

---

VASP calculation (GGA-PBE) on a relaxed LiAgBiPd crystal.

The structure in POSCAR format:
```
LiAgBiPd
1.0
0.000 3.339 3.339
3.339 0.000 3.339
3.339 3.339 0.000
Li Ag Bi Pd
1 1 1 1
Cartesian
0.000 0.000 0.000
1.670 1.670 1.670
5.009 5.009 5.009
3.339 3.339 3.339
```

Output
SG ... F-43m, No. 216
Fermi-level density of states ... 2.22 states/eV per cell
V ... 18.61 Å³/atom
Calculated formation energy ... -0.3115 eV/atom

---

VASP calculation (GGA-PBE) on a relaxed Li2AgBi2Pd4 crystal.

The structure in POSCAR format:
```
Li2AgBi2Pd4
1.0
-3.311 3.311 3.799
3.311 -3.311 3.799
3.311 3.311 -3.799
Li Ag Bi Pd
2 1 2 4
Cartesian
0.000 0.000 1.459
0.000 0.000 6.139
0.000 0.000 3.799
3.311 0.000 1.899
0.000 3.311 1.899
1.450 1.450 0.000
1.861 -1.861 3.799
-1.861 1.861 3.799
1.861 1.861 3.799
```

Output
SG ... I4/mmm, No. 139
Fermi-level density of states ... 3.70 states/eV per cell
V ... 18.51 Å³/atom
Calculated formation energy ... -0.1908 eV/atom

---

VASP calculation (GGA-PBE) on a relaxed LiPrAgBi crystal.

The structure in POSCAR format:
```
LiPrAgBi
1.0
0.000 3.722 3.722
3.722 0.000 3.722
3.722 3.722 0.000
Li Pr Ag Bi
1 1 1 1
Cartesian
0.000 0.000 0.000
3.722 3.722 3.722
1.861 1.861 1.861
5.583 5.583 5.583
```

Output
SG ... F-43m, No. 216
Fermi-level density of states ... 2.31 states/eV per cell
V ... 25.78 Å³/atom
Calculated formation energy ... -0.4416 eV/atom

---

VASP calculation (GGA-PBE) on a relaxed Li2AgBiPt crystal.

The structure in POSCAR format:
```
Li2AgBiPt
1.0
4.531 0.000 0.000
0.000 4.531 0.000
0.000 0.000 5.131
Li Ag Bi Pt
2 1 1 1
Cartesian
0.000 2.266 0.000
2.266 0.000 0.000
0.000 0.000 0.000
2.266 2.266 2.565
0.000 0.000 2.565
```

Output
SG ... P4/mmm, No. 123
Fermi-level density of states ... 2.32 states/eV per cell
V ... 21.07 Å³/atom
Calculated formation energy ... 0.0928 eV/atom

---

VASP calculation (GGA-PBE) on a relaxed LiAgBiPt crystal.

The structure in POSCAR format:
```
LiAgBiPt
1.0
0.000 3.342 3.342
3.342 0.000 3.342
3.342 3.342 0.000
Li Ag Bi Pt
1 1 1 1
Cartesian
0.000 0.000 0.000
1.671 1.671 1.671
5.013 5.013 5.013
3.342 3.342 3.342
```

Output
SG ... F-43m, No. 216
Fermi-level density of states ... 1.21 states/eV per cell
V ... 18.66 Å³/atom
Calculated formation energy ... -0.2890 eV/atom

---

VASP calculation (GGA-PBE) on a relaxed Li2PuAg2Bi2 crystal.

The structure in POSCAR format:
```
Li2PuAg2Bi2
1.0
2.362 1.364 8.367
-2.362 1.364 8.367
0.000 -2.728 8.367
Li Pu Ag Bi
2 1 2 2
Cartesian
0.000 0.000 3.590
0.000 0.000 21.510
0.000 0.000 0.000
0.000 0.000 11.130
0.000 0.000 13.970
0.000 0.000 6.592
0.000 0.000 18.509
```

Output
SG ... R-3m, No. 166
Fermi-level density of states ... 15.69 states/eV per cell
V ... 23.11 Å³/atom
Calculated formation energy ... -0.2857 eV/atom

---

VASP calculation (GGA-PBE) on a relaxed LiAgBiRh crystal.

The structure in POSCAR format:
```
LiAgBiRh
1.0
0.000 3.295 3.295
3.295 0.000 3.295
3.295 3.295 0.000
Li Ag Bi Rh
1 1 1 1
Cartesian
0.000 0.000 0.000
4.943 4.943 4.943
1.648 1.648 1.648
3.295 3.295 3.295
```

Output
SG ... F-43m, No. 216
Fermi-level density of states ... 2.47 states/eV per cell
V ... 17.89 Å³/atom
Calculated formation energy ... -0.1864 eV/atom

---

VASP calculation (GGA-PBE) on a relaxed LiAgBi2Rh crystal.

The structure in POSCAR format:
```
LiAgBi2Rh
1.0
4.964 0.000 0.000
0.000 4.964 0.000
0.000 0.000 4.441
Li Ag Bi Rh
1 1 2 1
Cartesian
0.000 0.000 0.000
0.000 0.000 2.220
0.000 2.482 0.000
2.482 0.000 0.000
2.482 2.482 2.220
```

Output
SG ... P4/mmm, No. 123
Fermi-level density of states ... 2.75 states/eV per cell
V ... 21.89 Å³/atom
Calculated formation energy ... 0.5112 eV/atom

---

> The highest V belongs to which entry?

Li3AgBi4Pb2